DFT (GGA-PBEsol) results for a relaxed structure of V3Pb4O12.

Values from the calculation:
density of states at the Fermi level	10.51	states/eV/cell
E_form (uncorrected)	-1.851	eV per atom

Geometry as POSCAR:
```
V3Pb4O12
1.0
-5.368 5.368 5.368
5.368 -5.368 5.368
5.368 5.368 -5.368
V Pb O
6 8 24
direct
0.125 0.750 0.875
0.250 0.625 0.375
0.375 0.250 0.625
0.625 0.375 0.250
0.750 0.875 0.125
0.875 0.125 0.750
0.000 0.343 0.500
0.000 0.843 0.500
0.157 0.157 0.157
0.343 0.500 0.000
0.500 0.000 0.343
0.500 0.000 0.843
0.657 0.657 0.657
0.843 0.500 0.000
0.073 0.658 0.342
0.084 0.268 0.927
0.158 0.573 0.842
0.158 0.816 0.732
0.184 0.416 0.342
0.232 0.316 0.658
0.268 0.927 0.084
0.316 0.658 0.232
0.342 0.073 0.658
0.342 0.184 0.416
0.416 0.342 0.184
0.427 0.768 0.584
0.573 0.842 0.158
0.584 0.427 0.768
0.658 0.232 0.316
0.658 0.342 0.073
0.684 0.842 0.916
0.732 0.158 0.816
0.768 0.584 0.427
0.816 0.732 0.158
0.842 0.158 0.573
0.842 0.916 0.684
0.916 0.684 0.842
0.927 0.084 0.268
```

---

DFT (GGA-PBEsol) results for a relaxed structure of FeTcRu2.

Values from the calculation:
calculated formation energy	130	meV/atom
density of states at the Fermi level	5.16	states/eV/cell

Geometry as POSCAR:
```
FeTcRu2
1.0
4.546 0.000 0.000
0.000 2.630 0.000
-1.551 0.000 4.289
Fe Tc Ru
1 1 2
direct
0.000 0.000 0.000
0.000 0.500 0.500
0.500 0.000 0.500
0.500 0.500 0.000
```